The following is a DFT calculation (PBE-GGA) of a geometry-optimized CaAcTe2 structure.

Values from the calculation:
Theoretical density ... 6.76 Mg/m³
N(E_F) ... 10.6 states/eV per cell
Total DFT energy (no corrections) ... -71.0 eV for the cell shown
ΔE_f (raw) ... -1337 meV/atom
Total magnetic moment ... 0.0000 μB/atom

abc: 8.005 8.005 8.005
angles: 90.00 90.00 90.00
Space group Fm-3m (No. 225)
Asymmetric unit:
Ca  0.000  0.000  0.000 x4
Ac  0.000  0.000  0.500 x4
Te  0.250  0.250  0.250 x8

***

The following is a DFT calculation (PBE-GGA) of a geometry-optimized LuMgPtRh structure.

Values from the calculation:
Theoretical density ... 11.77 Mg/m³
N(E_F) ... 10.5 states/eV per cell
Total DFT energy (no corrections) ... -93.3 eV for the cell shown
Formation energy from the elements ... -3.8 eV per formula unit
Total magnetic moment ... 0.0000 μB/atom

abc: 6.548 6.548 6.548
angles: 90.00 90.00 90.00
Space group F-43m (No. 216)
Asymmetric unit:
Lu  0.000  0.000  0.000 x4
Mg  0.000  0.000  0.500 x4
Pt  0.250  0.250  0.750 x4
Rh  0.250  0.250  0.250 x4

***

The following is a DFT calculation (PBE-GGA) of a geometry-optimized Pu2MgCd structure.

Values from the calculation:
Theoretical density ... 14.02 Mg/m³
N(E_F) ... 8.6 states/eV per cell
Total DFT energy (no corrections) ... -29.0 eV for the cell shown
Formation energy from the elements ... 2.1 eV per formula unit
Total magnetic moment ... 0.0002 μB/atom

abc: 3.646 3.646 5.569
angles: 90.00 90.00 90.00
Space group P4/mmm (No. 123)
Asymmetric unit:
Pu  0.000  0.500  0.000 x2
Mg  0.000  0.000  0.500 x1
Cd  0.500  0.500  0.500 x1